1.
NdY3Mg after structural relaxation, computed with PBE.

Unit cell a=6.579 b=9.988 c=9.988 alpha=81.60 beta=78.97 gamma=78.97
Element x y z (fractional)
Nd 0.547 0.526 0.675
Nd 0.953 0.325 0.474
Nd 0.453 0.474 0.325
Nd 0.047 0.675 0.526
Y 0.144 0.724 0.871
Y 0.356 0.129 0.276
Y 0.856 0.276 0.129
Y 0.644 0.871 0.724
Y 0.362 0.376 0.006
Y 0.138 0.994 0.624
Y 0.638 0.624 0.994
Y 0.862 0.006 0.376
Y 0.036 0.404 0.791
Y 0.464 0.209 0.596
Y 0.964 0.596 0.209
Y 0.536 0.791 0.404
Mg 0.750 0.925 0.075
Mg 0.250 0.075 0.925
Mg 0.750 0.164 0.836
Mg 0.250 0.836 0.164

Total moment   0.000 μB/f.u.
Space-group type   C2/c (15)
Excess energy over the best structure of this formula in the dataset   0.060 eV/atom
ΔH_f (0 K)   0.0355 eV per atom

=====

2.
Ca2MgTa after structural relaxation, computed with PBE.

Unit cell a=5.777 b=5.777 c=6.068 alpha=81.79 beta=81.79 gamma=31.61
Element x y z (fractional)
Ca 0.994 0.994 0.014
Ca 0.506 0.506 0.486
Mg 0.750 0.750 0.750
Ta 0.250 0.250 0.250

Total moment   0.000 μB/f.u.
Space-group type   C2/m (12)
ΔH_f (0 K)   0.6141 eV per atom

=====

3.
OsRu2S after structural relaxation, computed with PBE.

Unit cell a=4.466 b=2.857 c=4.539 alpha=90.00 beta=106.61 gamma=90.00
Element x y z (fractional)
Ru 0.021 0.000 0.583
Ru 0.858 0.500 0.031
S 0.440 0.000 0.014
Os 0.471 0.500 0.427

Total moment   0.000 μB/f.u.
Energy relative to the elements, uncorrected   0.7 eV/f.u.
Space-group type   Pm (6)

=====

4.
Fe3CoNi2 after structural relaxation, computed with PBE.

Unit cell a=3.598 b=5.662 c=7.041 alpha=90.00 beta=90.00 gamma=71.47
Last column: magnetic moment on the atom in μB.
Element x y z (fractional)
Fe 0.833 0.334 0.752  2.64
Fe 0.500 0.000 0.249  2.63
Fe 0.167 0.666 0.248  2.64
Fe 0.833 0.334 0.248  2.64
Fe 0.167 0.666 0.752  2.64
Fe 0.500 0.000 0.751  2.63
Co 0.334 0.331 0.000  1.52
Co 0.666 0.669 0.000  1.52
Ni 0.000 0.000 0.000  0.66
Ni 0.000 0.000 0.500  0.69
Ni 0.334 0.333 0.500  0.67
Ni 0.666 0.667 0.500  0.67

Total moment   10.609 μB/f.u.
Space-group type   Cmmm (65)
ΔH_f (0 K)   -0.0244 eV per atom

=====

5.
CeTmGeS after structural relaxation, computed with PBE.

Unit cell a=4.076 b=4.076 c=7.004 alpha=73.08 beta=73.08 gamma=60.00
Last column: magnetic moment on the atom in μB.
Element x y z (fractional)
Ce 0.694 0.694 0.917  0.48
Tm 0.193 0.193 0.422  -0.01
Ge 0.942 0.942 0.175  -0.02
S 0.448 0.448 0.657  -0.01

Total moment   0.512 μB/f.u.
Energy relative to the elements, uncorrected   -5.5 eV/f.u.
Space-group type   R3m (160)

=====

6.
CaY2Te after structural relaxation, computed with PBE.

Unit cell a=5.547 b=5.547 c=5.547 alpha=60.00 beta=60.00 gamma=60.00
Last column: magnetic moment on the atom in μB.
Element x y z (fractional)
Y 0.000 0.000 0.000  0.19
Y 0.250 0.250 0.250  0.31
Ca 0.500 0.500 0.500  0.05
Te 0.750 0.750 0.750  -0.01

Total moment   1.049 μB/f.u.
Energy relative to the elements, uncorrected   -0.5 eV/f.u.
Space-group type   F-43m (216)

=====

7.
K2Sb after structural relaxation, computed with PBE.

Unit cell a=6.072 b=6.072 c=7.627 alpha=90.00 beta=90.00 gamma=120.00
Last column: magnetic moment on the atom in μB.
Element x y z (fractional)
K 0.000 0.000 0.000  0.01
K 0.000 0.000 0.500  0.01
K 0.333 0.667 0.250  0.01
K 0.667 0.333 0.750  0.01
Sb 0.667 0.333 0.250  0.32
Sb 0.333 0.667 0.750  0.32

Total moment   0.972 μB/f.u.
Energy relative to the elements, uncorrected   -0.8 eV/f.u.
Space-group type   P6_3/mmc (194)
Excess energy over the best structure of this formula in the dataset   0.144 eV/atom

=====

8.
AcPmTh2Rh4 after structural relaxation, computed with PBE.

Unit cell a=5.853 b=5.853 c=7.192 alpha=116.28 beta=116.28 gamma=84.95
Element x y z (fractional)
Ac 0.924 0.924 0.000
Pm 0.489 0.489 0.000
Th 0.171 0.671 0.500
Th 0.671 0.171 0.500
Rh 0.002 0.408 0.000
Rh 0.408 0.002 0.000
Rh 0.179 0.179 0.525
Rh 0.654 0.654 0.475

Total moment   0.000 μB/f.u.
Space-group type   Fmm2 (42)
ΔH_f (0 K)   -0.7248 eV per atom